[1]
Density functional theory data (PBE) for a geometry-optimized AsOsPb2 structure.

Geometry as extended XYZ:
```
8
Lattice="3.2763 0.0000 0.0000 0.0000 4.6857 0.0000 0.0000 0.0000 12.4720" Properties=species:S:1:pos:R:3 pbc="T T T"
As 0.0000 0.0000 0.0000
As 1.6382 2.3428 6.2360
Os 0.0000 2.3428 8.0556
Os 1.6382 0.0000 1.8196
Pb 0.0000 0.0000 4.7164
Pb 0.0000 2.3428 2.4005
Pb 1.6382 0.0000 8.6365
Pb 1.6382 2.3428 10.9524
```

Output
Space group: Imm2, No. 44
Volume, Å³/cell: 191.5
Raw total energy, hartree per atom: -0.1982

---

[2]
Density functional theory data (PBE) for a geometry-optimized PaNbZn structure.

Geometry as extended XYZ:
```
6
Lattice="3.4335 0.0000 0.0000 0.0000 3.4335 0.0000 0.0000 0.0000 10.7419" Properties=species:S:1:pos:R:3 pbc="T T T"
Pa 0.8584 0.8584 2.6431
Pa 2.5751 2.5751 8.0987
Nb 0.8584 0.8584 9.9674
Nb 2.5751 2.5751 0.7745
Zn 0.8584 2.5751 5.3709
Zn 2.5751 0.8584 5.3709
```

Output
Space group: P4/nmm, No. 129
Energy relative to the lowest polymorph listed for this composition, eV/atom: 0.1980
Volume, Å³/cell: 126.6
Raw total energy, hartree per atom: -0.2464

---

[3]
Density functional theory data (PBE) for a geometry-optimized Re3PbCl structure.

Geometry as extended XYZ:
```
5
Lattice="5.2687 0.0000 0.0000 0.0000 5.2687 0.0000 0.0000 0.0000 5.2687" Properties=species:S:1:pos:R:3 pbc="T T T"
Re 0.0000 0.0000 2.6343
Re 0.0000 2.6343 0.0000
Re 2.6343 0.0000 0.0000
Pb 0.0000 0.0000 0.0000
Cl 2.6343 2.6343 2.6343
```

Output
ΔE_f (raw), eV per atom: 3.4176
Space group: Pm-3m, No. 221
Energy relative to the lowest polymorph listed for this composition, eV/atom: 1.5028
Volume, Å³/cell: 146.3
Raw total energy, hartree per atom: -0.1897